VASP calculation (PBE+U) on a relaxed structure of BaNaPrMnO6.

Lattice parameters (Å, degrees): 8.4914 8.4914 8.4914 90.00 90.00 90.00
Space group F-43m (No. 216)
Unique sites:
Ba: 0.0000 0.0000 0.0000 [4 per cell]
Na: 0.0000 0.0000 0.5000 [4 per cell]
Pr: 0.2500 0.2500 0.7500 [4 per cell]
Mn: 0.2500 0.2500 0.2500 [4 per cell]
O: 0.0255 0.2500 0.2500 [24 per cell]

## Properties
- DOS at the Fermi energy: 3.48 states/eV/f.u.
- Total moment: 5.0 μB/f.u.
- Calculated total energy: -256.1 eV/cell